No. 1
## NdAl3Br12 (GGA-PBEsol)

Data for crystalline NdAl3Br12 at its relaxed geometry.

Summary:
- Crystal system: trigonal
- VASP energy: -3.7684 eV/atom
- Symmetry: P3_121
- M_tot: 0.004 μB per cell

a = 10.5745 Å, b = 10.5745 Å, c = 18.4454 Å
α = 90.00°, β = 90.00°, γ = 120.00°
With the nearest neighbours (Å) after each atom.
Fractional positions:
Al: 0.3000 0.6512 0.3982  4 Br 2.26-2.39
Al: 0.0859 0.0000 0.5000  4 Br 2.31-2.32
Al: 0.3513 0.7000 0.0648  4 Br 2.26-2.39
Al: 0.6487 0.3488 0.6018  4 Br 2.26-2.39
Al: 0.9141 0.9141 0.1667  4 Br 2.31-2.32
Al: 0.6512 0.3000 0.9352  4 Br 2.26-2.39
Al: 0.7000 0.3513 0.2685  4 Br 2.26-2.39
Al: 0.0000 0.0859 0.8333  4 Br 2.31-2.32
Al: 0.3488 0.6487 0.7315  4 Br 2.26-2.39
Br: 0.5295 0.9259 0.1179  1 Al 2.39
Br: 0.0741 0.6036 0.4512  1 Al 2.39
Br: 0.0367 0.2261 0.9363  1 Al 2.32
Br: 0.5136 0.2242 0.7064  1 Al 2.37
Br: 0.1954 0.0589 0.7992  1 Al 2.31
Br: 0.7758 0.2894 0.0397  1 Al 2.37
Br: 0.3149 0.5120 0.1369  1 Al 2.26
Br: 0.8046 0.8635 0.8675  1 Al 2.31
Br: 0.7106 0.4864 0.3730  1 Al 2.37
Br: 0.8029 0.4880 0.8631  1 Al 2.26
Br: 0.7739 0.8105 0.2697  1 Al 2.32
Br: 0.4864 0.7106 0.9603  1 Al 2.37
Br: 0.9633 0.1895 0.7303  1 Al 2.32
Br: 0.6036 0.0741 0.8821  1 Al 2.39
Br: 0.9259 0.5295 0.2154  1 Al 2.39
Br: 0.4880 0.8029 0.4702  1 Al 2.26
Br: 0.2261 0.0367 0.3970  1 Al 2.32
Br: 0.6851 0.1971 0.5298  1 Al 2.26
Br: 0.9411 0.1365 0.1325  1 Al 2.31
Br: 0.8105 0.7739 0.0637  1 Al 2.32
Br: 0.2894 0.7758 0.2936  1 Al 2.37
Br: 0.2895 0.4400 0.3660  1 Al 2.26
Br: 0.8495 0.5600 0.6340  1 Al 2.26
Br: 0.8635 0.8046 0.4659  1 Al 2.31
Br: 0.3964 0.4705 0.7846  1 Al 2.39
Br: 0.1971 0.6851 0.8035  1 Al 2.26
Br: 0.7105 0.1505 0.3007  1 Al 2.26
Br: 0.2242 0.5136 0.6270  1 Al 2.37
Br: 0.4705 0.3964 0.5488  1 Al 2.39
Br: 0.0589 0.1954 0.5341  1 Al 2.31
Br: 0.5120 0.3149 0.1965  1 Al 2.26
Br: 0.5600 0.8495 0.6993  1 Al 2.26
Br: 0.1365 0.9411 0.2008  1 Al 2.31
Br: 0.4400 0.2895 0.9673  1 Al 2.26
Br: 0.1505 0.7105 0.0327  1 Al 2.26
Br: 0.1895 0.9633 0.6030  1 Al 2.32
Nd: 0.0000 0.7415 0.3333  8 Br 2.93-3.08
Nd: 0.2585 0.2585 0.6667  8 Br 2.93-3.08
Nd: 0.7415 0.0000 0.0000  8 Br 2.93-3.08


No. 2
## AlNi2Br (GGA-PBEsol)

Data for crystalline AlNi2Br at its relaxed geometry.

Summary:
- Crystal system: tetragonal
- VASP energy: -4.3375 eV/atom
- Energy above the most stable polymorph in this dataset: 362.3 meV/atom
- Symmetry: I-4m2
- M_tot: 0.000 μB per cell

a = 3.5613 Å, b = 3.5613 Å, c = 4.9993 Å
α = 110.87°, β = 110.87°, γ = 90.00°
With the nearest neighbours (Å) after each atom.
Fractional positions:
Ni: 0.0000 0.0000 0.0000  4 Al 2.52, 4 Br 2.80, 4 Ni 2.80
Ni: 0.7500 0.2500 0.5000  4 Br 2.52, 4 Ni 2.80, 4 Al 2.80
Br: 0.2500 0.7500 0.5000  8 Ni 2.52-2.80, 4 Al 2.80
Al: 0.5000 0.5000 0.0000  8 Ni 2.52-2.80, 4 Br 2.80


No. 3
## AlNi2Br (GGA-PBEsol)

Data for crystalline AlNi2Br at its relaxed geometry.

Summary:
- Crystal system: tetragonal
- VASP energy: -4.5992 eV/atom
- Energy above the most stable polymorph in this dataset: 100.7 meV/atom
- Symmetry: P4/mmm
- M_tot: 0.000 μB per cell

a = 3.0609 Å, b = 3.0609 Å, c = 5.9257 Å
α = 90.00°, β = 90.00°, γ = 90.00°
With the nearest neighbours (Å) after each atom.
Fractional positions:
Ni: 0.0000 0.0000 0.2083  1 Ni 2.47, 4 Al 2.49
Ni: 0.0000 0.0000 0.7917  1 Ni 2.47, 4 Al 2.49
Br: 0.5000 0.5000 0.5000  8 Ni 2.77, 2 Al 2.96, 4 Br 3.06
Al: 0.5000 0.5000 0.0000  8 Ni 2.49


No. 4
## AlNi2Br (GGA-PBEsol)

Data for crystalline AlNi2Br at its relaxed geometry.

Summary:
- Crystal system: monoclinic
- VASP energy: -4.6999 eV/atom
- Energy above the most stable polymorph in this dataset: 0.0 meV/atom
- Symmetry: P2/m
- M_tot: 0.000 μB per cell

a = 2.9455 Å, b = 3.1727 Å, c = 6.3883 Å
α = 89.81°, β = 90.00°, γ = 90.00°
With the nearest neighbours (Å) after each atom.
Fractional positions:
Al: 0.5000 0.0000 0.5000  8 Ni 2.48
Br: 0.5000 0.5000 0.0000  4 Ni 2.47
Ni: 0.0000 0.4990 0.6899  1 Ni 2.43, 2 Br 2.47, 4 Al 2.48
Ni: 0.0000 0.5010 0.3101  1 Ni 2.43, 2 Br 2.47, 4 Al 2.48


No. 5
## AlNiBr2 (GGA-PBEsol)

Data for crystalline AlNiBr2 at its relaxed geometry.

Summary:
- Crystal system: orthorhombic
- VASP energy: -3.3831 eV/atom
- Energy above the most stable polymorph in this dataset: 70.8 meV/atom
- Symmetry: Cmmm
- M_tot: 0.907 μB per cell

a = 3.4935 Å, b = 3.5487 Å, c = 8.0075 Å
α = 90.00°, β = 90.00°, γ = 119.49°
With the nearest neighbours (Å) after each atom.
Fractional positions:
Ni: 0.5000 0.0000 0.5000  4 Br 2.40
Br: 0.0000 0.0000 0.2951  2 Ni 2.40
Br: 0.0000 0.0000 0.7049  2 Ni 2.40
Al: 0.5000 0.0000 0.0000  4 Br 2.94


No. 6
## AlNiBr2 (GGA-PBEsol)

Data for crystalline AlNiBr2 at its relaxed geometry.

Summary:
- Crystal system: trigonal
- VASP energy: -3.4539 eV/atom
- Energy above the most stable polymorph in this dataset: 0.0 meV/atom
- Symmetry: R-3m
- M_tot: 1.196 μB per cell

a = 3.5037 Å, b = 3.5037 Å, c = 8.2745 Å
α = 77.78°, β = 77.78°, γ = 60.00°
With the nearest neighbours (Å) after each atom.
Fractional positions:
Al: 0.0000 0.0000 0.0000  6 Br 3.26, 6 Al 3.50
Ni: 0.5000 0.5000 0.5000  6 Br 2.49
Br: 0.2270 0.2270 0.3189  3 Ni 2.49
Br: 0.7730 0.7730 0.6811  3 Ni 2.49


No. 7
## Al2NiRuBr (GGA-PBEsol)

Data for crystalline Al2NiRuBr at its relaxed geometry.

Summary:
- Crystal system: tetragonal
- VASP energy: -3.9179 eV/atom
- Symmetry: P4/mmm
- M_tot: 1.265 μB per cell

a = 4.1305 Å, b = 4.7884 Å, c = 4.7884 Å
α = 90.00°, β = 90.00°, γ = 90.00°
With the nearest neighbours (Å) after each atom.
Fractional positions:
Ru: 0.5000 0.5000 0.5000  8 Al 3.16, 4 Ni 3.39
Al: 0.0000 0.0000 0.5000  2 Br 2.39
Al: 0.0000 0.5000 0.0000  2 Br 2.39
Br: 0.0000 0.0000 0.0000  2 Ni 2.07
Ni: 0.5000 0.0000 0.0000  2 Br 2.07


No. 8
## AlSeBr2O (GGA-PBEsol)

Data for crystalline AlSeBr2O at its relaxed geometry.

Summary:
- Crystal system: tetragonal
- VASP energy: -3.0742 eV/atom
- Symmetry: P4/mmm
- M_tot: 2.703 μB per cell

a = 4.9411 Å, b = 4.9411 Å, c = 4.9088 Å
α = 90.00°, β = 90.00°, γ = 90.00°
With the nearest neighbours (Å) after each atom.
Fractional positions:
O: 0.5000 0.5000 0.5000  8 Br 3.48, 4 Se 3.49
Se: 0.0000 0.0000 0.5000  2 Al 2.45
Br: 0.5000 0.0000 0.0000  2 Al 2.47
Br: 0.0000 0.5000 0.0000  2 Al 2.47
Al: 0.0000 0.0000 0.0000  2 Se 2.45, 4 Br 2.47


No. 9
## AlOsBr2 (GGA-PBEsol)

Data for crystalline AlOsBr2 at its relaxed geometry.

Summary:
- Crystal system: orthorhombic
- VASP energy: -4.8220 eV/atom
- Energy above the most stable polymorph in this dataset: 0.0 meV/atom
- Symmetry: Immm
- M_tot: 0.000 μB per cell

a = 3.0747 Å, b = 4.1021 Å, c = 7.5530 Å
α = 105.76°, β = 101.74°, γ = 90.00°
With the nearest neighbours (Å) after each atom.
Fractional positions:
Br: 0.1501 0.1501 0.3003  2 Os 2.63
Br: 0.8499 0.8499 0.6997  2 Os 2.63
Os: 0.5000 0.0000 0.0000  4 Al 2.56, 4 Br 2.63
Al: 0.0000 0.5000 0.0000  4 Os 2.56


No. 10
## AlOsBr2 (GGA-PBEsol)

Data for crystalline AlOsBr2 at its relaxed geometry.

Summary:
- Crystal system: cubic
- VASP energy: -3.9457 eV/atom
- Energy above the most stable polymorph in this dataset: 876.3 meV/atom
- Symmetry: Fm-3m
- M_tot: 0.082 μB per cell

a = 4.6167 Å, b = 4.6167 Å, c = 4.6167 Å
α = 60.00°, β = 60.00°, γ = 60.00°
With the nearest neighbours (Å) after each atom.
Fractional positions:
Br: 0.7500 0.7500 0.7500  4 Os 2.83, 4 Al 2.83
Br: 0.2500 0.2500 0.2500  4 Al 2.83, 4 Os 2.83
Al: 0.5000 0.5000 0.5000  8 Br 2.83
Os: 0.0000 0.0000 0.0000  8 Br 2.83


No. 11
## AlPBr2 (GGA-PBEsol)

Data for crystalline AlPBr2 at its relaxed geometry.

Summary:
- Crystal system: tetragonal
- VASP energy: -2.9550 eV/atom
- Energy above the most stable polymorph in this dataset: 233.3 meV/atom
- Symmetry: P4/mmm
- M_tot: 0.000 μB per cell

a = 3.4526 Å, b = 4.9096 Å, c = 4.9096 Å
α = 90.00°, β = 90.00°, γ = 90.00°
With the nearest neighbours (Å) after each atom.
Fractional positions:
Br: 0.0000 0.5000 0.0000  4 P 3.00, 4 Al 3.00
Br: 0.0000 0.0000 0.5000  4 Al 3.00, 4 P 3.00
P: 0.5000 0.5000 0.5000  8 Br 3.00
Al: 0.5000 0.0000 0.0000  8 Br 3.00


Q: VASP energy of number 10 (AlOsBr2)?
A: -3.9457 eV/atom